Entry 1:
NaTi2Mn: optimized geometry, GGA-PBE.

Cell: 6.3042 6.3042 6.3042 Å, 90.00 90.00 90.00°
Space group Fm-3m (No. 225)
Asymmetric unit:
Na (0.0000, 0.0000, 0.0000) (multiplicity 4)
Ti (0.2500, 0.2500, 0.2500) (multiplicity 8)
Mn (0.0000, 0.0000, 0.5000) (multiplicity 4)

Summary:
excess energy over the best structure of this formula in the dataset: 0.0 meV/atom


Entry 2:
Nd3Zn4Ni4: optimized geometry, GGA-PBE.

Cell: 4.0653 7.1689 13.7702 Å, 90.00 90.00 90.00°
Space group Immm (No. 71)
Asymmetric unit:
Nd (0.0000, 0.0000, 0.0000) (multiplicity 2)
Nd (0.0000, 0.5000, 0.1287) (multiplicity 4)
Zn (0.0000, 0.3117, 0.3298) (multiplicity 8)
Ni (0.0000, 0.0000, 0.2179) (multiplicity 4)
Ni (0.0000, 0.1763, 0.5000) (multiplicity 4)

Summary:
excess energy over the best structure of this formula in the dataset: 0.0 meV/atom


Entry 3:
SmAs3PdRh2: optimized geometry, GGA-PBE.

Cell: 7.5015 7.5015 18.4682 Å, 90.00 90.00 120.00°
Space group R-3m (No. 166, hexagonal axes)
Asymmetric unit:
Sm (0.0000, 0.0000, 0.2387) (multiplicity 6)
As (0.0421, 0.5211, 0.2570) (multiplicity 18)
Pd (0.0000, 0.0000, 0.0886) (multiplicity 6)
Rh (0.0000, 0.0000, 0.5000) (multiplicity 3)
Rh (0.0000, 0.5000, 0.0000) (multiplicity 9)

Summary:
electronic total energy: -41.60 eV/f.u.


Entry 4:
Li2RuC4: optimized geometry, GGA-PBE.

Cell: 3.9046 3.9046 10.9341 Å, 90.00 90.00 90.00°
Space group I4/mmm (No. 139)
Asymmetric unit:
Li (0.0000, 0.0000, 0.1247) (multiplicity 4)
Ru (0.0000, 0.0000, 0.5000) (multiplicity 2)
C (0.0000, 0.0000, 0.3083) (multiplicity 4)
C (0.0000, 0.5000, 0.0000) (multiplicity 4)

Summary:
electronic total energy: -37.33 eV/f.u.


Entry 5:
CrMo2Os: optimized geometry, GGA-PBE.

Cell: 2.7463 2.7463 7.8029 Å, 90.00 90.00 90.00°
Space group P4/mmm (No. 123)
Asymmetric unit:
Cr (0.0000, 0.0000, 0.0000) (multiplicity 1)
Mo (0.5000, 0.5000, 0.2483) (multiplicity 2)
Os (0.0000, 0.0000, 0.5000) (multiplicity 1)

Summary:
excess energy over the best structure of this formula in the dataset: 146.5 meV/atom


Entry 6:
Ba4TlPt2: optimized geometry, GGA-PBE.

Cell: 14.3220 4.6226 17.0670 Å, 90.00 90.00 90.00°
Space group Pnma (No. 62)
Asymmetric unit:
Ba (0.0250, 0.2500, 0.2132) (multiplicity 4)
Ba (0.0847, 0.7500, 0.4271) (multiplicity 4)
Ba (0.1214, 0.2500, 0.9715) (multiplicity 4)
Ba (0.2065, 0.2500, 0.6585) (multiplicity 4)
Tl (0.2411, 0.7500, 0.8314) (multiplicity 4)
Pt (0.0613, 0.7500, 0.6130) (multiplicity 4)
Pt (0.0829, 0.7500, 0.0971) (multiplicity 4)

Summary:
electronic total energy: -26.30 eV/f.u.


Entry 7:
CoP2: optimized geometry, GGA-PBE.

Cell: 3.9642 13.6193 3.1818 Å, 90.00 90.00 90.00°
Space group Cmcm (No. 63)
Asymmetric unit:
Co (0.0000, 0.1571, 0.2500) (multiplicity 4)
P (0.0000, 0.2674, 0.7500) (multiplicity 4)
P (0.0000, 0.4430, 0.2500) (multiplicity 4)

Summary:
electronic total energy: -17.63 eV/f.u.


Entry 8:
CsGa2Sn: optimized geometry, GGA-PBE.

Cell: 8.6220 5.2516 16.4163 Å, 90.00 121.48 90.00°
Space group P2_1/c (No. 14)
Asymmetric unit:
Cs (0.2504, 0.2499, 0.2500) (multiplicity 4)
Ga (0.0509, 0.7098, 0.0514) (multiplicity 4)
Ga (0.4491, 0.7098, 0.9486) (multiplicity 4)
Sn (0.2500, 0.9996, 0.0000) (multiplicity 4)

Summary:
electronic total energy: -10.91 eV/f.u.


Entry 9:
Be2RhWSe: optimized geometry, GGA-PBE.

Cell: 4.0733 4.0733 4.8793 Å, 90.00 90.00 90.00°
Space group P4/mmm (No. 123)
Asymmetric unit:
Be (0.0000, 0.5000, 0.0000) (multiplicity 2)
Rh (0.0000, 0.0000, 0.0000) (multiplicity 1)
W (0.5000, 0.5000, 0.5000) (multiplicity 1)
Se (0.0000, 0.0000, 0.5000) (multiplicity 1)

Summary:
electronic total energy: -25.93 eV/f.u.


Entry 10:
BaZrHg2: optimized geometry, GGA-PBE.

Cell: 11.5021 3.5153 5.8666 Å, 90.00 101.17 90.00°
Space group Cm (No. 8)
Asymmetric unit:
Ba (0.0000, 0.0000, 0.0000) (multiplicity 2)
Zr (0.2684, 0.5000, 0.3956) (multiplicity 2)
Hg (0.0055, 0.5000, 0.4852) (multiplicity 2)
Hg (0.2490, 0.0000, 0.8183) (multiplicity 2)

Summary:
electronic total energy: -10.85 eV/f.u.


Entry 11:
KBeRh: optimized geometry, GGA-PBE.

Cell: 6.2635 6.2635 6.2635 Å, 90.00 90.00 90.00°
Space group F-43m (No. 216)
Asymmetric unit:
K (0.0000, 0.0000, 0.0000) (multiplicity 4)
Be (0.0000, 0.0000, 0.5000) (multiplicity 4)
Rh (0.2500, 0.2500, 0.2500) (multiplicity 4)

Summary:
excess energy over the best structure of this formula in the dataset: 991.6 meV/atom


Entry 12:
Tc4Mo: optimized geometry, GGA-PBE.

Cell: 3.8632 3.8632 11.1356 Å, 90.00 90.00 90.00°
Space group I4/mmm (No. 139)
Asymmetric unit:
Tc (0.0000, 0.0000, 0.1038) (multiplicity 4)
Tc (0.0000, 0.5000, 0.2500) (multiplicity 4)
Mo (0.0000, 0.0000, 0.5000) (multiplicity 2)

Summary:
excess energy over the best structure of this formula in the dataset: 0.0 meV/atom


Result set for density: 4.60, 7.69, 7.61, 3.25, 12.25, 6.72, 4.67, 4.10, 7.87, 8.99, 4.08, 9.75 g cm⁻³, one per record in the order listed.